Computed, not measured: Pm5DyTl6 after structural relaxation at the PBE level of DFT.

Results
- DFT total energy (eV per formula unit) = -47.11
- size of the total moment (μB/f.u.) = 0.0
- space group = P2/m
- energy relative to the elements (eV/atom) = -0.380
- N(E_F) (states/eV per cell) = 9.512

abc: 5.490 7.665 8.702
angles: 90.00 71.28 90.00
Fractional positions:
Dy: 0.000 0.000 0.000
Pm: 0.666 0.000 0.667
Pm: 0.334 0.000 0.333
Pm: 0.669 0.500 0.663
Pm: 0.000 0.500 0.000
Pm: 0.331 0.500 0.337
Tl: 0.500 0.247 0.000
Tl: 0.836 0.753 0.329
Tl: 0.500 0.753 0.000
Tl: 0.836 0.247 0.329
Tl: 0.164 0.247 0.671
Tl: 0.164 0.753 0.671

=====

Computed, not measured: Pm2Dy7Tl2 after structural relaxation at the PBE level of DFT.

Results
- DFT total energy (eV per formula unit) = -46.23
- size of the total moment (μB/f.u.) = 0.0
- space group = C2/m
- energy relative to the elements (eV/atom) = 0.020
- N(E_F) (states/eV per cell) = 13.439

abc: 8.351 6.551 6.551
angles: 93.86 99.98 99.98
Fractional positions:
Tl: 0.146 0.383 0.383
Tl: 0.854 0.617 0.617
Dy: 0.524 0.691 0.691
Dy: 0.829 0.522 0.118
Dy: 0.829 0.118 0.522
Dy: 0.000 0.000 0.000
Dy: 0.171 0.478 0.882
Dy: 0.476 0.309 0.309
Dy: 0.171 0.882 0.478
Pm: 0.500 0.181 0.819
Pm: 0.500 0.819 0.181

=====

Computed, not measured: Pm2Dy2Tl5 after structural relaxation at the PBE level of DFT.

Results
- DFT total energy (eV per formula unit) = -32.55
- size of the total moment (μB/f.u.) = 0.0
- space group = Cmce
- energy relative to the elements (eV/atom) = -0.224
- N(E_F) (states/eV per cell) = 13.770

abc: 8.175 8.115 9.154
angles: 116.31 90.00 90.00
Fractional positions:
Tl: 0.644 0.014 0.736
Tl: 0.144 0.486 0.264
Tl: 0.356 0.722 0.736
Tl: 0.644 0.278 0.264
Tl: 0.856 0.778 0.264
Tl: 0.000 0.000 0.000
Tl: 0.144 0.222 0.736
Tl: 0.500 0.500 0.000
Tl: 0.856 0.514 0.736
Tl: 0.356 0.986 0.264
Dy: 0.843 0.345 0.000
Dy: 0.343 0.155 0.000
Dy: 0.657 0.845 0.000
Dy: 0.157 0.655 0.000
Pm: 0.500 0.700 0.401
Pm: 0.500 0.300 0.599
Pm: 0.000 0.800 0.599
Pm: 0.000 0.200 0.401

=====

Computed, not measured: PmDy4Tl2 after structural relaxation at the PBE level of DFT.

Results
- DFT total energy (eV per formula unit) = -28.73
- size of the total moment (μB/f.u.) = 0.0
- space group = C2/m
- relative energy among the computed polymorphs (meV/atom) = 0.0
- energy relative to the elements (eV/atom) = -0.120
- N(E_F) (states/eV per cell) = 15.072

abc: 5.427 8.768 11.296
angles: 113.01 76.10 71.97
Fractional positions:
Tl: 0.318 0.234 0.131
Tl: 0.342 0.816 0.500
Tl: 0.682 0.766 0.869
Tl: 0.658 0.184 0.500
Dy: 0.661 0.598 0.081
Dy: 0.990 0.712 0.307
Dy: 0.347 0.619 0.687
Dy: 0.313 0.047 0.327
Dy: 0.339 0.402 0.919
Dy: 0.010 0.288 0.693
Dy: 0.687 0.953 0.673
Dy: 0.653 0.381 0.313
Pm: 0.974 0.125 0.927
Pm: 0.026 0.875 0.073

=====

Computed, not measured: Pm2DyTl after structural relaxation at the PBE level of DFT.

Results
- DFT total energy (eV per formula unit) = -16.15
- size of the total moment (μB/f.u.) = 0.0
- space group = R-3m
- relative energy among the computed polymorphs (meV/atom) = 272.4
- energy relative to the elements (eV/atom) = 0.079
- N(E_F) (states/eV per cell) = 4.384

abc: 3.584 3.584 12.454
angles: 81.73 81.73 60.00
Fractional positions:
Tl: 0.000 0.000 0.000
Dy: 0.500 0.500 0.500
Pm: 0.089 0.089 0.733
Pm: 0.911 0.911 0.267

=====

Computed, not measured: Pm8Dy2Tl after structural relaxation at the PBE level of DFT.

Results
- DFT total energy (eV per formula unit) = -50.03
- size of the total moment (μB/f.u.) = 0.0
- space group = C2/m
- relative energy among the computed polymorphs (meV/atom) = 0.0
- energy relative to the elements (eV/atom) = -0.042
- N(E_F) (states/eV per cell) = 14.824

abc: 5.044 8.071 9.500
angles: 105.07 105.39 90.00
Fractional positions:
Dy: 0.776 0.366 0.552
Dy: 0.224 0.634 0.448
Pm: 0.320 0.091 0.641
Pm: 0.045 0.725 0.090
Pm: 0.137 0.180 0.274
Pm: 0.955 0.275 0.910
Pm: 0.409 0.557 0.819
Pm: 0.680 0.909 0.359
Pm: 0.591 0.443 0.181
Pm: 0.863 0.820 0.726
Tl: 0.500 0.000 0.000

=====

Computed, not measured: PmDy12Tl3 after structural relaxation at the PBE level of DFT.

Results
- DFT total energy (eV per formula unit) = -69.06
- size of the total moment (μB/f.u.) = 0.0
- space group = P4/mmm
- energy relative to the elements (eV/atom) = -0.124
- N(E_F) (states/eV per cell) = 20.568

abc: 4.864 4.864 19.919
angles: 90.00 90.00 90.00
Fractional positions:
Dy: 0.000 0.500 0.869
Dy: 0.500 0.500 0.256
Dy: 0.500 0.500 0.000
Dy: 0.000 0.500 0.131
Dy: 0.500 0.500 0.500
Dy: 0.500 0.000 0.377
Dy: 0.000 0.500 0.623
Dy: 0.000 0.500 0.377
Dy: 0.500 0.000 0.131
Dy: 0.500 0.500 0.744
Dy: 0.500 0.000 0.623
Dy: 0.500 0.000 0.869
Tl: 0.000 0.000 0.500
Tl: 0.000 0.000 0.743
Tl: 0.000 0.000 0.257
Pm: 0.000 0.000 0.000

=====

Computed, not measured: Pm6DyTl6 after structural relaxation at the PBE level of DFT.

Results
- DFT total energy (eV per formula unit) = -50.00
- size of the total moment (μB/f.u.) = 1.9
- space group = P6/mmm
- energy relative to the elements (eV/atom) = -0.207
- N(E_F) (states/eV per cell) = 15.804

abc: 6.519 6.519 10.875
angles: 90.00 90.00 120.00
Fractional positions:
Tl: 0.500 0.500 0.753
Tl: 0.000 0.500 0.247
Tl: 0.500 0.500 0.247
Tl: 0.500 0.000 0.753
Tl: 0.000 0.500 0.753
Tl: 0.500 0.000 0.247
Pm: 0.333 0.667 0.500
Pm: 0.333 0.667 0.000
Pm: 0.667 0.333 0.000
Pm: 0.000 0.000 0.332
Pm: 0.000 0.000 0.668
Pm: 0.667 0.333 0.500
Dy: 0.000 0.000 0.000

=====

Computed, not measured: PmDy6Tl5 after structural relaxation at the PBE level of DFT.

Results
- DFT total energy (eV per formula unit) = -46.45
- size of the total moment (μB/f.u.) = 0.0
- space group = C2/m
- relative energy among the computed polymorphs (meV/atom) = 84.9
- energy relative to the elements (eV/atom) = -0.188
- N(E_F) (states/eV per cell) = 13.822

abc: 6.215 10.422 7.688
angles: 47.33 80.76 76.30
Fractional positions:
Dy: 0.263 0.906 0.641
Dy: 0.737 0.094 0.359
Dy: 0.263 0.547 0.359
Dy: 0.771 0.725 0.000
Dy: 0.737 0.453 0.641
Dy: 0.229 0.275 0.000
Tl: 0.500 0.860 0.280
Tl: 0.500 0.140 0.720
Tl: 0.000 0.696 0.608
Tl: 0.500 0.500 0.000
Tl: 0.000 0.304 0.392
Pm: 0.000 0.000 0.000

=====

Computed, not measured: Pm14DyTl after structural relaxation at the PBE level of DFT.

Results
- DFT total energy (eV per formula unit) = -73.83
- size of the total moment (μB/f.u.) = 0.0
- space group = P4/mmm
- energy relative to the elements (eV/atom) = -0.022
- N(E_F) (states/eV per cell) = 20.854

abc: 7.203 7.203 10.260
angles: 90.00 90.00 90.00
Fractional positions:
Pm: 0.375 0.125 0.000
Pm: 0.875 0.625 0.000
Pm: 0.375 0.625 0.500
Pm: 0.624 0.376 0.754
Pm: 0.624 0.874 0.754
Pm: 0.126 0.376 0.246
Pm: 0.126 0.874 0.246
Pm: 0.624 0.376 0.246
Pm: 0.875 0.625 0.500
Pm: 0.624 0.874 0.246
Pm: 0.375 0.125 0.500
Pm: 0.126 0.376 0.754
Pm: 0.875 0.125 0.500
Pm: 0.126 0.874 0.754
Dy: 0.875 0.125 0.000
Tl: 0.375 0.625 0.000